Compound: MgZrTi3
Source: the Alexandria database
Functional: SCAN
Structure: single point on PBEsol structure Values from VASP.

SG: Pm-3m
Energy of formation from the pure elements: 1.159 eV/atom

```
&SYSTEM
  ibrav = 0, nat = 5, ntyp = 3
/
ATOMIC_SPECIES
Mg 24.30 Mg.upf
Zr 91.22 Zr.upf
Ti 47.87 Ti.upf
ATOMIC_POSITIONS crystal
Mg 0.0000 0.0000 0.0000
Zr 0.5000 0.5000 0.5000
Ti 0.0000 0.5000 0.0000
Ti 0.0000 0.0000 0.5000
Ti 0.5000 0.0000 0.0000
CELL_PARAMETERS angstrom
-2.4348 1.7065 3.6626
-3.7659 0.5914 -2.7790
-1.4645 -4.3581 1.0570
```